VSn2F6, relaxed, DFT GGA+U; magnetic moment = 0.33 μB/atom; crystal system = monoclinic; final energy = -5.334 eV/atom
1.0
4.8494 -6.0341 0.0000
4.8494 6.0341 0.0000
-0.9079 0.0000 5.2390
V Sn F
2 4 12
Cartesian
4.1685 5.1100 3.9292 V
4.6224 -5.1100 1.3097 V
2.4733 1.4342 4.6601 Sn
2.9273 -1.4342 2.0406 Sn
5.8636 1.4342 3.1984 Sn
6.3176 -1.4342 0.5789 Sn
0.6206 0.6553 3.2360 F
2.7726 3.5870 4.4933 F
1.0746 -0.6553 0.6165 F
3.5311 1.3314 2.7359 F
5.5643 3.5870 3.3652 F
4.8058 1.3314 5.1225 F
3.9850 -1.3314 0.1164 F
3.2266 -3.5870 1.8738 F
5.2598 -1.3314 2.5030 F
7.7163 0.6553 4.6224 F
6.0183 -3.5870 0.7457 F
8.1702 -0.6553 2.0030 F